{
  "formula": "SrSbH",
  "functional": "PBE",
  "state": "relaxed",
  "final_energy_ev_per_cell": -42.501,
  "vol_a3_per_cell": 311.1,
  "e_above_lowest_polymorph_ev_per_atom": 0.039,
  "spacegroup": "Cmcm",
  "lattice_angstrom": [[8.647, 0.000, 0.000], [0.000, 4.133, 0.000], [0.000, 0.000, 8.706]],
  "species": ["Sr", "Sr", "Sr", "Sr", "H", "H", "H", "H", "Sb", "Sb", "Sb", "Sb"],
  "frac_coords": [[0.000, 0.250, 0.750], [0.000, 0.750, 0.250], [0.500, 0.250, 0.750], [0.500, 0.750, 0.250], [0.250, 0.250, 0.904], [0.750, 0.750, 0.096], [0.250, 0.750, 0.404], [0.750, 0.250, 0.596], [0.250, 0.750, 0.942], [0.250, 0.250, 0.442], [0.750, 0.250, 0.058], [0.750, 0.750, 0.558]]
}